## i
Below is KTlPb2 at its PBEsol-relaxed geometry, with properties calculated at the meta-GGA SCAN level.

Its density of states at the Fermi level is 1.82 states/eV/f.u. The value obtained for the total magnetization is 0.00 μB per atom.

The structure belongs to space group P2/m (No. 10); the cell edges are 3.413, 5.617 and 6.831 Å and the angles 90.00°, 99.95° and 90.00°. The inequivalent atoms are K at (0.000, 0.000, 0.000), Tl at (0.500, 0.000, 0.500) and Pb at (0.311, 0.500, 0.709).

## ii
Below is KTlPb2 at its PBEsol-relaxed geometry, with properties calculated at the meta-GGA SCAN level.

Its density of states at the Fermi level is 1.01 states/eV/f.u. The value obtained for the total magnetization is 0.00 μB per atom.

The structure belongs to space group F-43m (No. 216); the cell edges are 7.897, 7.897 and 7.897 Å and the angles 90.00°, 90.00° and 90.00°. The inequivalent atoms are K at (0.000, 0.000, 0.000), Tl at (0.250, 0.250, 0.750), Pb at (0.000, 0.000, 0.500) and Pb at (0.250, 0.250, 0.250).

## iii
Below is KTlPb2 at its PBEsol-relaxed geometry, with properties calculated at the meta-GGA SCAN level.

Its density of states at the Fermi level is 2.14 states/eV/f.u. The value obtained for the total magnetization is 0.00 μB per atom.

The structure belongs to space group Cmmm (No. 65); the cell edges are 6.801, 10.428 and 3.420 Å and the angles 90.00°, 90.00° and 90.00°. The inequivalent atoms are K at (0.000, 0.000, 0.000), Tl at (0.000, 0.500, 0.000) and Pb at (0.250, 0.250, 0.500).

## iv
Below is KTlPb2 at its PBEsol-relaxed geometry, with properties calculated at the meta-GGA SCAN level.

Its density of states at the Fermi level is 1.78 states/eV/f.u. The value obtained for the total magnetization is 0.00 μB per atom.

The structure belongs to space group Cm (No. 8); the cell edges are 10.962, 3.469 and 6.684 Å and the angles 90.00°, 97.52° and 90.00°. The inequivalent atoms are K at (0.000, 0.000, 0.000), Tl at (0.253, 0.500, 0.275), Pb at (0.244, 0.000, 0.706) and Pb at (0.498, 0.000, 0.498).

Stability, highest: ii

## i
Below is KTlPb2 at its PBEsol-relaxed geometry, with properties calculated at the meta-GGA SCAN level.

Its density of states at the Fermi level is 2.16 states/eV/f.u. The value obtained for the total magnetization is 0.00 μB per atom.

The structure belongs to space group I4/mmm (No. 139); the cell edges are 4.872, 4.872 and 10.209 Å and the angles 90.00°, 90.00° and 90.00°. The inequivalent atoms are K at (0.000, 0.000, 0.000), Tl at (0.000, 0.000, 0.500) and Pb at (0.000, 0.500, 0.250).

## ii
Below is KTlPb2 at its PBEsol-relaxed geometry, with properties calculated at the meta-GGA SCAN level.

Its density of states at the Fermi level is 1.43 states/eV/f.u. The value obtained for the total magnetization is 0.00 μB per atom.

The structure belongs to space group Pmm2 (No. 25); the cell edges are 3.736, 4.387 and 7.772 Å and the angles 90.00°, 90.00° and 90.00°. The inequivalent atoms are K at (0.000, 0.000, 0.000), Tl at (0.500, 0.500, 0.717), Pb at (0.000, 0.000, 0.501) and Pb at (0.500, 0.500, 0.298).

Stability, highest: ii

## i
Below is K2Tl2Pb at its PBEsol-relaxed geometry, with properties calculated at the meta-GGA SCAN level.

Its density of states at the Fermi level is 2.91 states/eV/f.u. The value obtained for the total magnetization is 0.00 μB per atom.

The structure belongs to space group I4/mmm (No. 139); the cell edges are 4.662, 4.662 and 15.691 Å and the angles 90.00°, 90.00° and 90.00°. The inequivalent atoms are K at (0.000, 0.500, 0.250), Tl at (0.000, 0.000, 0.091) and Pb at (0.000, 0.000, 0.500).

## ii
Below is K2Tl2Pb at its PBEsol-relaxed geometry, with properties calculated at the meta-GGA SCAN level.

Its density of states at the Fermi level is 2.82 states/eV/f.u. The value obtained for the total magnetization is 0.00 μB per atom.

The structure belongs to space group P4/mbm (No. 127); the cell edges are 7.971, 7.971 and 5.707 Å and the angles 90.00°, 90.00° and 90.00°. The inequivalent atoms are K at (0.180, 0.320, 0.000), Tl at (0.133, 0.633, 0.500) and Pb at (0.000, 0.000, 0.500).

Stability, highest: ii

## i
Below is KYPb2 at its PBEsol-relaxed geometry, with properties calculated at the meta-GGA SCAN level.

Its density of states at the Fermi level is 1.68 states/eV/f.u. The value obtained for the total magnetization is 0.02 μB per atom.

The structure belongs to space group P4/mmm (No. 123); the cell edges are 3.475, 3.475 and 9.905 Å and the angles 90.00°, 90.00° and 90.00°. The inequivalent atoms are K at (0.000, 0.000, 0.000), Y at (0.000, 0.000, 0.500) and Pb at (0.500, 0.500, 0.273).

## ii
Below is KYPb2 at its PBEsol-relaxed geometry, with properties calculated at the meta-GGA SCAN level.

Its density of states at the Fermi level is 1.02 states/eV/f.u. The value obtained for the total magnetization is 0.00 μB per atom.

The structure belongs to space group Pmmm (No. 47); the cell edges are 3.565, 4.554 and 7.747 Å and the angles 90.00°, 90.00° and 90.00°. The inequivalent atoms are K at (0.000, 0.000, 0.000), Y at (0.000, 0.000, 0.500) and Pb at (0.500, 0.500, 0.299).

Stability, highest: ii

## i
Below is KYPb2 at its PBEsol-relaxed geometry, with properties calculated at the meta-GGA SCAN level.

Its density of states at the Fermi level is 2.35 states/eV/f.u. The value obtained for the total magnetization is 0.00 μB per atom.

The structure belongs to space group Fm-3m (No. 225); the cell edges are 7.815, 7.815 and 7.815 Å and the angles 90.00°, 90.00° and 90.00°. The inequivalent atoms are K at (0.000, 0.000, 0.000), Y at (0.000, 0.000, 0.500) and Pb at (0.250, 0.250, 0.250).

## ii
Below is KYPb2 at its PBEsol-relaxed geometry, with properties calculated at the meta-GGA SCAN level.

Its density of states at the Fermi level is 2.91 states/eV/f.u. The value obtained for the total magnetization is 0.00 μB per atom.

The structure belongs to space group I-4m2 (No. 119); the cell edges are 4.643, 4.643 and 11.068 Å and the angles 90.00°, 90.00° and 90.00°. The inequivalent atoms are K at (0.000, 0.000, 0.000), Y at (0.000, 0.500, 0.750), Pb at (0.000, 0.000, 0.500) and Pb at (0.000, 0.500, 0.250).

Stability, highest: i

## i
Below is K2Zn2Pb at its PBEsol-relaxed geometry, with properties calculated at the meta-GGA SCAN level.

Its density of states at the Fermi level is 2.31 states/eV/f.u. The value obtained for the total magnetization is 0.00 μB per atom.

The structure belongs to space group I4/mmm (No. 139); the cell edges are 3.562, 3.562 and 23.214 Å and the angles 90.00°, 90.00° and 90.00°. The inequivalent atoms are K at (0.000, 0.000, 0.116), Zn at (0.000, 0.500, 0.250) and Pb at (0.000, 0.000, 0.500).

## ii
Below is K2Zn2Pb at its PBEsol-relaxed geometry, with properties calculated at the meta-GGA SCAN level.

Its density of states at the Fermi level is 2.83 states/eV/f.u. The value obtained for the total magnetization is 0.00 μB per atom.

The structure belongs to space group I4/mmm (No. 139); the cell edges are 4.740, 4.740 and 13.513 Å and the angles 90.00°, 90.00° and 90.00°. The inequivalent atoms are K at (0.000, 0.500, 0.250), Zn at (0.000, 0.000, 0.088) and Pb at (0.000, 0.000, 0.500).

Stability, highest: i

## i
Below is KTl2Pd2 at its PBEsol-relaxed geometry, with properties calculated at the meta-GGA SCAN level.

Its density of states at the Fermi level is 1.75 states/eV/f.u. The value obtained for the total magnetization is 0.00 μB per atom.

The structure belongs to space group P4/mbm (No. 127); the cell edges are 8.444, 8.444 and 2.993 Å and the angles 90.00°, 90.00° and 90.00°. The inequivalent atoms are K at (0.000, 0.000, 0.000), Tl at (0.131, 0.369, 0.000) and Pd at (0.166, 0.666, 0.500).

## ii
Below is KTl2Pd2 at its PBEsol-relaxed geometry, with properties calculated at the meta-GGA SCAN level.

Its density of states at the Fermi level is 1.88 states/eV/f.u. The value obtained for the total magnetization is 0.00 μB per atom.

The structure belongs to space group I4/mmm (No. 139); the cell edges are 4.242, 4.242 and 13.245 Å and the angles 90.00°, 90.00° and 90.00°. The inequivalent atoms are K at (0.000, 0.000, 0.000), Tl at (0.000, 0.000, 0.378) and Pd at (0.000, 0.500, 0.250).

Stability, highest: ii

## i
Below is KPt4 at its PBEsol-relaxed geometry, with properties calculated at the meta-GGA SCAN level.

Its density of states at the Fermi level is 4.01 states/eV/f.u. The value obtained for the total magnetization is 0.00 μB per atom.

The structure belongs to space group Im-3m (No. 229); the cell edges are 5.852, 5.852 and 5.852 Å and the angles 90.00°, 90.00° and 90.00°. The inequivalent atoms are K at (0.000, 0.000, 0.000) and Pt at (0.250, 0.250, 0.250).

## ii
Below is KPt4 at its PBEsol-relaxed geometry, with properties calculated at the meta-GGA SCAN level.

Its density of states at the Fermi level is 5.36 states/eV/f.u. The value obtained for the total magnetization is 0.00 μB per atom.

The structure belongs to space group I4/mmm (No. 139); the cell edges are 4.511, 4.511 and 9.896 Å and the angles 90.00°, 90.00° and 90.00°. The inequivalent atoms are K at (0.000, 0.000, 0.000), Pt at (0.000, 0.000, 0.376) and Pt at (0.000, 0.500, 0.250).

Stability, highest: ii

## i
Below is KRe2Pt at its PBEsol-relaxed geometry, with properties calculated at the meta-GGA SCAN level.

Its density of states at the Fermi level is 4.45 states/eV/f.u. The value obtained for the total magnetization is 0.00 μB per atom.

The structure belongs to space group P4/mmm (No. 123); the cell edges are 2.650, 2.650 and 10.021 Å and the angles 90.00°, 90.00° and 90.00°. The inequivalent atoms are K at (0.000, 0.000, 0.000), Re at (0.500, 0.500, 0.294) and Pt at (0.000, 0.000, 0.500).

## ii
Below is KRe2Pt at its PBEsol-relaxed geometry, with properties calculated at the meta-GGA SCAN level.

Its density of states at the Fermi level is 3.76 states/eV/f.u. The value obtained for the total magnetization is 0.00 μB per atom.

The structure belongs to space group Pmm2 (No. 25); the cell edges are 2.678, 3.857 and 7.815 Å and the angles 90.00°, 90.00° and 90.00°. The inequivalent atoms are K at (0.000, 0.000, 0.000), Re at (0.000, 0.000, 0.495), Re at (0.500, 0.500, 0.646) and Pt at (0.500, 0.500, 0.309).

Stability, highest: ii

## i
Below is KPtRh2 at its PBEsol-relaxed geometry, with properties calculated at the meta-GGA SCAN level.

Its density of states at the Fermi level is 4.22 states/eV/f.u. The value obtained for the total magnetization is 0.27 μB per atom.

The structure belongs to space group Pmm2 (No. 25); the cell edges are 2.728, 3.489 and 7.835 Å and the angles 90.00°, 90.00° and 90.00°. The inequivalent atoms are K at (0.000, 0.000, 0.000), Pt at (0.500, 0.500, 0.313), Rh at (0.000, 0.000, 0.506) and Rh at (0.500, 0.500, 0.669).

## ii
Below is KPtRh2 at its PBEsol-relaxed geometry, with properties calculated at the meta-GGA SCAN level.

Its density of states at the Fermi level is 4.02 states/eV/f.u. The value obtained for the total magnetization is 0.46 μB per atom.

The structure belongs to space group Imm2 (No. 44); the cell edges are 2.693, 4.914 and 10.239 Å and the angles 90.00°, 90.00° and 90.00°. The inequivalent atoms are K at (0.000, 0.000, 0.000), Pt at (0.000, 0.500, 0.782), Rh at (0.000, 0.000, 0.507) and Rh at (0.000, 0.500, 0.221).

## iii
Below is KPtRh2 at its PBEsol-relaxed geometry, with properties calculated at the meta-GGA SCAN level.

Its density of states at the Fermi level is 4.90 states/eV/f.u. The value obtained for the total magnetization is 0.25 μB per atom.

The structure belongs to space group Pmmm (No. 47); the cell edges are 2.653, 4.081 and 6.938 Å and the angles 90.00°, 90.00° and 90.00°. The inequivalent atoms are K at (0.000, 0.000, 0.000), Pt at (0.000, 0.000, 0.500) and Rh at (0.500, 0.500, 0.325).

## iv
Below is KPtRh2 at its PBEsol-relaxed geometry, with properties calculated at the meta-GGA SCAN level.

Its density of states at the Fermi level is 4.05 states/eV/f.u. The value obtained for the total magnetization is 0.00 μB per atom.

The structure belongs to space group P4/mmm (No. 123); the cell edges are 4.026, 4.026 and 4.014 Å and the angles 90.00°, 90.00° and 90.00°. The inequivalent atoms are K at (0.000, 0.000, 0.000), Pt at (0.500, 0.500, 0.000) and Rh at (0.000, 0.500, 0.500).

Stability, highest: i

## i
Below is K2PtRh at its PBEsol-relaxed geometry, with properties calculated at the meta-GGA SCAN level.

Its density of states at the Fermi level is 3.09 states/eV/f.u. The value obtained for the total magnetization is 0.03 μB per atom.

The structure belongs to space group Pmm2 (No. 25); the cell edges are 2.864, 4.116 and 9.612 Å and the angles 90.00°, 90.00° and 90.00°. The inequivalent atoms are K at (0.000, 0.000, 0.000), K at (0.500, 0.500, 0.445), Pt at (0.000, 0.000, 0.687) and Rh at (0.500, 0.500, 0.753).

## ii
Below is K2PtRh at its PBEsol-relaxed geometry, with properties calculated at the meta-GGA SCAN level.

Its density of states at the Fermi level is 2.77 states/eV/f.u. The value obtained for the total magnetization is 0.11 μB per atom.

The structure belongs to space group Cm (No. 8); the cell edges are 8.799, 2.873 and 9.339 Å and the angles 90.00°, 93.69° and 90.00°. The inequivalent atoms are K at (0.000, 0.000, 0.000), K at (0.221, 0.000, 0.548), Pt at (0.479, 0.000, 0.305) and Rh at (0.245, 0.500, 0.245).

Stability, highest: i

## i
Below is KSbPt at its PBEsol-relaxed geometry, with properties calculated at the meta-GGA SCAN level.

Its density of states at the Fermi level is 0.65 states/eV/f.u. The value obtained for the total magnetization is 0.00 μB per atom.

The structure belongs to space group I4mm (No. 107); the cell edges are 3.641, 3.641 and 12.012 Å and the angles 90.00°, 90.00° and 90.00°. The inequivalent atoms are K at (0.000, 0.000, 0.000), Sb at (0.000, 0.000, 0.719) and Pt at (0.000, 0.000, 0.284).

## ii
Below is KSbPt at its PBEsol-relaxed geometry, with properties calculated at the meta-GGA SCAN level.

Its density of states at the Fermi level is 2.08 states/eV/f.u. The value obtained for the total magnetization is 0.00 μB per atom.

The structure belongs to space group P-6m2 (No. 187); the cell edges are 4.4152, 4.4152 and 5.2238 Å and the angles 90.00°, 90.00° and 120.00°. The inequivalent atoms are K at (0.0000, 0.0000, 0.0000), Sb at (0.6667, 0.3333, 0.5000) and Pt at (0.3333, 0.6667, 0.5000).

Stability, highest: ii